Record 1
Density functional theory data (PBE-GGA) for an optimized crystal structure of TbPaCoN4.

* ΔE_f (raw): -0.9110 eV/atom
* symmetry: I4mm (107)
* magnetization: 1.0 Bohr magnetons per cell

Cell: 3.676 3.676 6.600 Å, 106.17 106.17 90.00°
Site moments in Bohr magnetons follow the coordinates.
Atoms (fractional coordinates):
Tb: 0.640 0.640 0.279  0.01
Pa: 0.360 0.360 0.720  0.03
Co: 0.016 0.016 0.033  0.64
N: 0.991 0.491 0.982  0.10
N: 0.491 0.991 0.982  0.10
N: 0.825 0.825 0.650  0.02
N: 0.177 0.177 0.355  0.00

Record 2
Density functional theory data (PBE-GGA) for an optimized crystal structure of UCdIn.

* symmetry: P4/nmm (129)
* DFT formation energy: 0.11 eV/atom
* magnetization: 1.5 Bohr magnetons per cell

Cell: 3.647 3.647 10.179 Å, 90.00 90.00 90.00°
Site moments in Bohr magnetons follow the coordinates.
Atoms (fractional coordinates):
U: 0.000 0.500 0.545  0.70
U: 0.500 0.000 0.455  0.70
In: 0.000 0.500 0.243  0.00
In: 0.500 0.000 0.757  0.00
Cd: 0.500 0.000 0.083  0.00
Cd: 0.000 0.500 0.917  0.00

Record 3
Density functional theory data (PBE-GGA) for an optimized crystal structure of InP2Cl.

* ΔE_f (raw): -0.1159 eV/atom
* symmetry: P2/m (10)
* energy above the lowest structure with this stoichiometry: 0.134 eV per atom
* magnetization: 0.0 Bohr magnetons per cell

Cell: 4.126 5.837 4.608 Å, 61.08 90.00 90.00°
Atoms (fractional coordinates):
Cl: 0.500 0.250 0.250
In: 0.500 0.750 0.750
P: 0.000 0.894 0.006
P: 0.000 0.606 0.494

Record 4
Density functional theory data (PBE-GGA) for an optimized crystal structure of Pu4FeRh3.

* symmetry: I4/mmm (139)
* DFT formation energy: -0.29 eV/atom
* magnetization: 18.1 Bohr magnetons per cell

Cell: 4.834 4.834 7.577 Å, 108.56 108.56 89.98°
Site moments in Bohr magnetons follow the coordinates.
Atoms (fractional coordinates):
Rh: 0.000 0.500 0.000  -0.41
Rh: 0.747 0.247 0.494  -0.36
Rh: 0.253 0.753 0.506  -0.36
Fe: 0.500 0.000 0.000  -2.28
Pu: 0.376 0.376 0.751  5.14
Pu: 0.624 0.624 0.249  5.14
Pu: 0.124 0.124 0.249  5.14
Pu: 0.876 0.876 0.751  5.14

Record 5
Density functional theory data (PBE-GGA) for an optimized crystal structure of ZrTlP2.

* symmetry: Fm-3m (225)
* DFT formation energy: 0.02 eV/atom
* energy above the lowest structure with this stoichiometry: 0.533 eV per atom
* magnetization: 0.0 Bohr magnetons per cell

Cell: 4.818 4.818 4.818 Å, 60.00 60.00 60.00°
Atoms (fractional coordinates):
P: 0.250 0.250 0.250
P: 0.750 0.750 0.750
Tl: 0.500 0.500 0.500
Zr: 0.000 0.000 0.000

Record 6
Density functional theory data (PBE-GGA) for an optimized crystal structure of TbPr2Sc.

* symmetry: Fm-3m (225)
* DFT formation energy: 0.10 eV/atom
* energy above the lowest structure with this stoichiometry: 0.063 eV per atom
* magnetization: 0.0 Bohr magnetons per cell

Cell: 5.665 5.665 5.665 Å, 60.00 60.00 60.00°
Atoms (fractional coordinates):
Pr: 0.250 0.250 0.250
Pr: 0.750 0.750 0.750
Sc: 0.500 0.500 0.500
Tb: 0.000 0.000 0.000

Record 7
Density functional theory data (PBE-GGA) for an optimized crystal structure of La3MgRh.

* symmetry: P2_1/c (14)
* DFT formation energy: -0.35 eV/atom
* energy above the lowest structure with this stoichiometry: 0.000 eV per atom
* magnetization: 0.0 Bohr magnetons per cell

Cell: 7.055 10.508 9.468 Å, 121.30 90.00 89.99°
Atoms (fractional coordinates):
La: 0.005 0.697 0.906
La: 0.995 0.303 0.094
La: 0.505 0.803 0.094
La: 0.495 0.197 0.906
La: 0.499 0.424 0.744
La: 0.501 0.576 0.256
La: 0.999 0.076 0.256
La: 0.001 0.924 0.744
La: 0.999 0.303 0.705
La: 0.001 0.697 0.295
La: 0.499 0.197 0.295
La: 0.501 0.803 0.705
Mg: 0.794 0.500 0.501
Mg: 0.206 0.500 0.499
Mg: 0.294 0.000 0.499
Mg: 0.706 0.000 0.501
Rh: 0.220 0.497 0.998
Rh: 0.780 0.503 0.002
Rh: 0.720 0.003 0.002
Rh: 0.280 0.997 0.998

Record 8
Density functional theory data (PBE-GGA) for an optimized crystal structure of VGaPd.

* symmetry: I4/mmm (139)
* DFT formation energy: -0.36 eV/atom
* magnetization: 0.0 Bohr magnetons per cell

Cell: 3.567 3.567 7.391 Å, 103.97 103.97 90.00°
Atoms (fractional coordinates):
Pd: 0.175 0.175 0.350
Pd: 0.825 0.825 0.650
V: 0.000 0.500 0.000
V: 0.500 0.000 0.000
Ga: 0.642 0.642 0.285
Ga: 0.358 0.358 0.715

Record 9
Density functional theory data (PBE-GGA) for an optimized crystal structure of Pm4Dy15Sc.

* symmetry: P4/mmm (123)
* DFT formation energy: 0.02 eV/atom
* magnetization: 0.0 Bohr magnetons per cell

Cell: 5.028 5.028 25.055 Å, 90.00 90.00 90.00°
Atoms (fractional coordinates):
Pm: 0.000 0.000 0.197
Pm: 0.000 0.000 0.399
Pm: 0.000 0.000 0.601
Pm: 0.000 0.000 0.803
Dy: 0.500 0.500 0.000
Dy: 0.500 0.500 0.197
Dy: 0.500 0.500 0.399
Dy: 0.500 0.500 0.601
Dy: 0.500 0.500 0.803
Dy: 0.500 0.000 0.096
Dy: 0.500 0.000 0.298
Dy: 0.500 0.000 0.500
Dy: 0.500 0.000 0.702
Dy: 0.500 0.000 0.904
Dy: 0.000 0.500 0.096
Dy: 0.000 0.500 0.298
Dy: 0.000 0.500 0.500
Dy: 0.000 0.500 0.702
Dy: 0.000 0.500 0.904
Sc: 0.000 0.000 0.000

Record 10
Density functional theory data (PBE-GGA) for an optimized crystal structure of HgRu.

* symmetry: Pnma (62)
* DFT formation energy: 0.66 eV/atom
* magnetization: 4.2 Bohr magnetons per cell

Cell: 4.652 5.780 5.239 Å, 90.00 90.00 90.00°
Site moments in Bohr magnetons follow the coordinates.
Atoms (fractional coordinates):
Hg: 0.250 0.121 0.096  -0.01
Hg: 0.750 0.621 0.404  -0.01
Hg: 0.250 0.379 0.596  -0.01
Hg: 0.750 0.879 0.904  -0.01
Ru: 0.250 0.609 0.062  1.02
Ru: 0.750 0.109 0.438  1.02
Ru: 0.250 0.891 0.562  1.02
Ru: 0.750 0.391 0.938  1.02

Record 11
Density functional theory data (PBE-GGA) for an optimized crystal structure of Ba2TaZn.

* symmetry: Pmm2 (25)
* DFT formation energy: 0.51 eV/atom
* magnetization: 0.1 Bohr magnetons per cell

Cell: 3.575 3.770 9.699 Å, 90.00 90.00 90.00°
Site moments in Bohr magnetons follow the coordinates.
Atoms (fractional coordinates):
Ba: 0.000 0.000 0.920  0.00
Ba: 0.500 0.500 0.324  0.01
Ta: 0.000 0.000 0.583  0.06
Zn: 0.500 0.500 0.674  0.00

Record 12
Density functional theory data (PBE-GGA) for an optimized crystal structure of Ac2CdHg6.

* symmetry: C2/m (12)
* DFT formation energy: -0.35 eV/atom
* magnetization: 0.0 Bohr magnetons per cell

Cell: 6.057 6.901 6.901 Å, 59.85 89.86 89.86°
Atoms (fractional coordinates):
Ac: 0.817 0.666 0.666
Ac: 0.183 0.334 0.334
Cd: 0.000 0.000 0.000
Hg: 0.321 0.363 0.819
Hg: 0.320 0.818 0.818
Hg: 0.321 0.819 0.363
Hg: 0.679 0.637 0.181
Hg: 0.680 0.182 0.182
Hg: 0.679 0.181 0.637

Record 13
Density functional theory data (PBE-GGA) for an optimized crystal structure of KCd2Ni.

* symmetry: P2/m (10)
* DFT formation energy: 0.15 eV/atom
* energy above the lowest structure with this stoichiometry: 0.049 eV per atom
* magnetization: 0.0 Bohr magnetons per cell

Cell: 3.603 3.048 9.083 Å, 70.55 90.00 90.00°
Atoms (fractional coordinates):
Cd: 0.000 0.079 0.922
Cd: 0.000 0.421 0.578
K: 0.500 0.250 0.250
Ni: 0.500 0.750 0.750

Record 14
Density functional theory data (PBE-GGA) for an optimized crystal structure of Pm2SmF8.

* ΔE_f (raw): -3.8667 eV/atom
* symmetry: C2/m (12)
* energy above the lowest structure with this stoichiometry: 0.000 eV per atom
* magnetization: 1.0 Bohr magnetons per cell

Cell: 3.727 5.776 7.876 Å, 110.20 103.69 90.00°
Site moments in Bohr magnetons follow the coordinates.
Atoms (fractional coordinates):
Pm: 0.823 0.321 0.646  0.03
Pm: 0.177 0.679 0.354  0.03
Sm: 0.500 0.000 0.000  0.49
F: 0.403 0.562 0.806  0.01
F: 0.677 0.960 0.355  0.00
F: 0.778 0.673 0.557  0.01
F: 0.956 0.222 0.912  0.02
F: 0.222 0.327 0.443  0.01
F: 0.323 0.040 0.645  0.00
F: 0.597 0.438 0.194  0.01
F: 0.044 0.778 0.088  0.02

Record 15
Density functional theory data (PBE-GGA) for an optimized crystal structure of TbBi2Rh2.

* symmetry: P2_1/m (11)
* DFT formation energy: -0.50 eV/atom
* magnetization: 0.0 Bohr magnetons per cell

Cell: 4.804 4.707 11.208 Å, 114.73 90.00 90.00°
Atoms (fractional coordinates):
Tb: 0.250 0.927 0.174
Tb: 0.750 0.073 0.826
Bi: 0.250 0.587 0.835
Bi: 0.750 0.413 0.165
Bi: 0.250 0.251 0.502
Bi: 0.750 0.749 0.498
Rh: 0.250 0.921 0.672
Rh: 0.750 0.079 0.328
Rh: 0.250 0.268 0.007
Rh: 0.750 0.732 0.993

Record 16
Density functional theory data (PBE-GGA) for an optimized crystal structure of AcScZn2Pt2.

* symmetry: P-3m1 (164)
* DFT formation energy: -0.88 eV/atom
* magnetization: 0.0 Bohr magnetons per cell

Cell: 4.488 4.488 7.167 Å, 90.00 90.00 120.00°
Atoms (fractional coordinates):
Ac: 0.000 0.000 0.000
Sc: 0.000 0.000 0.500
Zn: 0.667 0.333 0.312
Zn: 0.333 0.667 0.688
Pt: 0.667 0.333 0.701
Pt: 0.333 0.667 0.299

Record 17
Density functional theory data (PBE-GGA) for an optimized crystal structure of CrCdIr2.

* symmetry: Cm (8)
* DFT formation energy: 0.20 eV/atom
* magnetization: 2.5 Bohr magnetons per cell

Cell: 4.849 4.849 4.837 Å, 79.86 79.86 34.01°
Site moments in Bohr magnetons follow the coordinates.
Atoms (fractional coordinates):
Cd: 0.501 0.501 0.498  0.00
Cr: 0.738 0.738 0.782  2.56
Ir: 0.000 0.000 0.996  -0.11
Ir: 0.260 0.260 0.224  -0.13

Record 18
Density functional theory data (PBE-GGA) for an optimized crystal structure of HoTeCl.

* ΔE_f (raw): -1.3883 eV/atom
* symmetry: I4mm (107)
* magnetization: 0.0 Bohr magnetons per cell

Cell: 3.659 3.659 7.454 Å, 104.21 104.21 90.00°
Atoms (fractional coordinates):
Te: 0.046 0.046 0.091
Ho: 0.667 0.667 0.334
Cl: 0.287 0.287 0.575

Record 19
Density functional theory data (PBE-GGA) for an optimized crystal structure of Pm5Al2Cd2.

* symmetry: Cmce (64)
* DFT formation energy: -0.25 eV/atom
* magnetization: 0.0 Bohr magnetons per cell

Cell: 7.835 7.956 9.355 Å, 115.16 90.00 90.00°
Atoms (fractional coordinates):
Pm: 0.000 0.000 0.000
Pm: 0.500 0.500 0.000
Pm: 0.820 0.821 0.266
Pm: 0.180 0.445 0.266
Pm: 0.320 0.945 0.266
Pm: 0.680 0.321 0.266
Pm: 0.180 0.179 0.734
Pm: 0.820 0.555 0.734
Pm: 0.680 0.055 0.734
Pm: 0.320 0.679 0.734
Al: 0.616 0.884 0.000
Al: 0.384 0.116 0.000
Al: 0.116 0.616 0.000
Al: 0.884 0.384 0.000
Cd: 0.000 0.220 0.439
Cd: 0.500 0.720 0.439
Cd: 0.000 0.780 0.561
Cd: 0.500 0.280 0.561

Record 20
Density functional theory data (PBE-GGA) for an optimized crystal structure of CsNa4Tl6.

* symmetry: P-6 (174)
* DFT formation energy: -0.10 eV/atom
* magnetization: 0.0 Bohr magnetons per cell

Cell: 5.392 8.886 8.886 Å, 120.00 90.00 90.00°
Atoms (fractional coordinates):
Cs: 0.000 0.333 0.667
Na: 0.500 0.602 0.536
Na: 0.500 0.934 0.398
Na: 0.000 0.000 0.000
Na: 0.500 0.464 0.066
Tl: 0.500 0.036 0.803
Tl: 0.500 0.197 0.233
Tl: 0.000 0.825 0.577
Tl: 0.000 0.423 0.248
Tl: 0.000 0.752 0.175
Tl: 0.500 0.767 0.964